Material: ZrMnRe2
Method: DFT, PBE
State: relaxed

Cell: 2.7432 4.5061 5.1470 Å, 90.00 98.80 90.00°
Last column: nearest neighbours and their distance in Å.
Positions (direct):
Zr  0.0000  0.0000  0.0000  2 Mn 2.72, 2 Zr 2.74, 4 Re 2.77
Mn  0.5000  0.0000  0.5000  4 Re 2.70, 2 Zr 2.72, 2 Mn 2.74
Re  0.2569  0.5000  0.7386  4 Re 2.64-2.81, 2 Mn 2.70, 2 Zr 2.77
Re  0.7431  0.5000  0.2614  4 Re 2.64-2.81, 2 Mn 2.70, 2 Zr 2.77

Output
Offset from the most stable computed form: 100 meV/atom
Formation enthalpy at 0 K: 102.6 meV per atom
Final energy: -42.2 eV/f.u.
Symmetry: P2/m (10)

***

Material: Zr2Mn9Re
Method: DFT, PBE
State: relaxed

Cell: 8.4116 8.4116 8.4116 Å, 32.99 32.99 32.99°
Last column: nearest neighbours and their distance in Å.
Positions (direct):
Zr  0.1401  0.1401  0.1401  12 Mn 2.78-3.01, 3 Zr 3.04
Zr  0.8599  0.8599  0.8599  12 Mn 2.78-3.01, 3 Zr 3.04
Mn  0.0698  0.5856  0.5856  7 Mn 2.31-2.50
Mn  0.3362  0.3362  0.3362  6 Mn 2.33-2.39
Mn  0.4144  0.4144  0.9302  7 Mn 2.31-2.50
Mn  0.4144  0.9302  0.4144  7 Mn 2.31-2.50
Mn  0.5000  0.5000  0.5000  6 Mn 2.50
Mn  0.5856  0.0698  0.5856  7 Mn 2.31-2.50
Mn  0.5856  0.5856  0.0698  7 Mn 2.31-2.50
Mn  0.6638  0.6638  0.6638  6 Mn 2.33-2.39
Mn  0.9302  0.4144  0.4144  7 Mn 2.31-2.50
Re  0.0000  0.0000  0.0000  18 Mn 2.76-3.06

Output
Formation enthalpy at 0 K: 52.3 meV per atom
Final energy: -111.4 eV/f.u.
Symmetry: R-3m (166)

***

Material: ZrMnRe2
Method: DFT, PBE
State: relaxed

Cell: 4.4366 4.4366 4.4366 Å, 60.00 60.00 60.00°
Last column: nearest neighbours and their distance in Å.
Positions (direct):
Zr  0.0000  0.0000  0.0000  8 Re 2.72
Mn  0.5000  0.5000  0.5000  8 Re 2.72
Re  0.2500  0.2500  0.2500  4 Zr 2.72, 4 Mn 2.72
Re  0.7500  0.7500  0.7500  4 Zr 2.72, 4 Mn 2.72

Output
Offset from the most stable computed form: 217 meV/atom
Formation enthalpy at 0 K: 219.6 meV per atom
Final energy: -41.7 eV/f.u.
Symmetry: Fm-3m (225)

***

Material: ZrMn3Re
Method: DFT, PBE
State: relaxed

Cell: 4.3569 4.3569 4.3569 Å, 90.00 90.00 90.00°
Last column: nearest neighbours and their distance in Å.
Positions (direct):
Zr  0.0000  0.0000  0.0000  6 Mn 2.18
Mn  0.0000  0.0000  0.5000  2 Zr 2.18
Mn  0.0000  0.5000  0.0000  2 Zr 2.18
Mn  0.5000  0.0000  0.0000  2 Zr 2.18
Re  0.5000  0.5000  0.5000  12 Mn 3.08

Output
Offset from the most stable computed form: 1284 meV/atom
Formation enthalpy at 0 K: 2260.4 meV per atom
Final energy: -37.2 eV/f.u.
Symmetry: Pm-3m (221)

***

Material: ZrMnRe2
Method: DFT, PBE
State: relaxed

Cell: 5.7552 5.7552 5.7552 Å, 101.27 101.27 127.52°
Last column: nearest neighbours and their distance in Å.
Positions (direct):
Zr  0.0000  0.0000  0.0000  2 Mn 2.54
Zr  0.7500  0.2500  0.5000  2 Mn 2.54
Mn  0.2500  0.7500  0.5000  4 Re 2.38, 2 Zr 2.54
Mn  0.5000  0.5000  0.0000  4 Re 2.38, 2 Zr 2.54
Re  0.1839  0.6250  0.0589  2 Mn 2.38
Re  0.3750  0.4339  0.5589  2 Mn 2.38
Re  0.5661  0.1250  0.9411  2 Mn 2.38
Re  0.8750  0.8161  0.4411  2 Mn 2.38

Output
Offset from the most stable computed form: 506 meV/atom
Formation enthalpy at 0 K: 508.3 meV per atom
Final energy: -40.6 eV/f.u.
Symmetry: I-42d (122)

***

Material: ZrMnRe2
Method: DFT, PBE
State: relaxed

Cell: 9.3881 9.3881 9.3881 Å, 17.48 17.48 17.48°
Last column: nearest neighbours and their distance in Å.
Positions (direct):
Zr  0.0000  0.0000  0.0000  6 Zr 2.85, 3 Mn 2.92, 3 Re 3.06
Mn  0.7538  0.7538  0.7538  3 Re 2.70, 6 Mn 2.85, 3 Zr 2.92
Re  0.2404  0.2404  0.2404  9 Re 2.67-2.85
Re  0.4978  0.4978  0.4978  9 Re 2.67-2.85, 3 Mn 2.70

Output
Offset from the most stable computed form: 246 meV/atom
Formation enthalpy at 0 K: 248.3 meV per atom
Final energy: -41.6 eV/f.u.
Symmetry: R3m (160)

***

Material: MnRh
Method: DFT, PBE
State: relaxed

Cell: 8.5274 8.5274 8.5274 Å, 18.33 18.33 18.33°
Last column: nearest neighbours and their distance in Å.
Positions (direct):
Mn  0.1265  0.1265  0.1265  3 Rh 2.56, 9 Mn 2.56-2.72
Mn  0.8735  0.8735  0.8735  3 Rh 2.56, 9 Mn 2.56-2.72
Rh  0.3796  0.3796  0.3796  3 Mn 2.56, 9 Rh 2.72-2.80
Rh  0.6204  0.6204  0.6204  3 Mn 2.56, 9 Rh 2.72-2.80

Output
Formation enthalpy at 0 K: 80.7 meV per atom
Final energy: -16.4 eV/f.u.
Symmetry: R-3m (166)

***

Material: Mn2Rh3
Method: DFT, PBE
State: relaxed

Cell: 6.8383 5.1394 7.8355 Å, 59.36 40.29 80.35°
Last column: nearest neighbours and their distance in Å.
Positions (direct):
Mn  0.0202  0.4798  0.0789  8 Rh 2.57-2.77, 2 Mn 2.79
Mn  0.1711  0.8289  0.2298  8 Rh 2.57-2.77, 2 Mn 2.79
Mn  0.4798  0.0202  0.4211  8 Rh 2.57-2.77, 2 Mn 2.79
Mn  0.8289  0.1711  0.7702  8 Rh 2.57-2.77, 2 Mn 2.79
Rh  0.0572  0.0572  0.9428  6 Mn 2.57-2.77, 6 Rh 2.69-2.88
Rh  0.3072  0.3072  0.1928  6 Mn 2.57-2.77, 6 Rh 2.69-2.88
Rh  0.4861  0.5886  0.3146  5 Mn 2.60-2.72, 6 Rh 2.65-2.88
Rh  0.5886  0.4861  0.6108  5 Mn 2.60-2.72, 6 Rh 2.65-2.88
Rh  0.6392  0.9354  0.6614  5 Mn 2.60-2.72, 6 Rh 2.65-2.88
Rh  0.9354  0.6392  0.7639  5 Mn 2.60-2.72, 6 Rh 2.65-2.88

Output
Offset from the most stable computed form: 0 meV/atom
Formation enthalpy at 0 K: -34.2 meV per atom
Final energy: -40.6 eV/f.u.
Symmetry: Fdd2 (43)

***

Material: Mn2Rh
Method: DFT, PBE
State: relaxed

Cell: 4.5001 4.5001 4.5001 Å, 146.54 133.43 58.55°
Last column: nearest neighbours and their distance in Å.
Positions (direct):
Mn  0.1746  0.1746  0.0000  7 Mn 2.50-2.74, 5 Rh 2.55-2.59
Mn  0.8254  0.8254  0.0000  7 Mn 2.50-2.74, 5 Rh 2.55-2.59
Rh  0.5000  0.5000  0.0000  10 Mn 2.55-2.59, 2 Rh 2.59

Output
Formation enthalpy at 0 K: 77.7 meV per atom
Final energy: -25.5 eV/f.u.
Symmetry: Immm (71)

***

Material: Mn2Rh
Method: DFT, PBE
State: relaxed

Cell: 7.2244 7.2244 7.2244 Å, 152.84 152.84 38.79°
Last column: nearest neighbours and their distance in Å.
Positions (direct):
Mn  0.2930  0.5430  0.7500  3 Mn 2.06-2.24
Mn  0.4570  0.7070  0.7500  3 Mn 2.06-2.24
Mn  0.5430  0.2930  0.2500  3 Mn 2.06-2.24
Mn  0.7070  0.4570  0.2500  3 Mn 2.06-2.24
Rh  0.1250  0.8750  0.2500  12 Mn 2.65-2.85
Rh  0.8750  0.1250  0.7500  12 Mn 2.65-2.85

Output
Formation enthalpy at 0 K: 494.8 meV per atom
Final energy: -24.2 eV/f.u.
Symmetry: I4_1/amd (141)

***

Material: MnRh2
Method: DFT, PBE
State: relaxed

Cell: 5.0923 5.0923 6.4186 Å, 106.03 106.03 31.60°
Last column: nearest neighbours and their distance in Å.
Positions (direct):
Mn  0.0327  0.0327  0.2917  9 Rh 2.61-2.72, 2 Mn 2.77
Mn  0.9673  0.9673  0.7083  9 Rh 2.61-2.72, 2 Mn 2.77
Rh  0.3211  0.3211  0.3751  5 Mn 2.61-2.72, 7 Rh 2.72-2.79
Rh  0.3601  0.3601  0.9722  4 Mn 2.63-2.65, 8 Rh 2.66-2.79
Rh  0.6399  0.6399  0.0278  4 Mn 2.63-2.65, 8 Rh 2.66-2.79
Rh  0.6789  0.6789  0.6249  5 Mn 2.61-2.72, 7 Rh 2.72-2.79

Output
Offset from the most stable computed form: 39 meV/atom
Formation enthalpy at 0 K: -70.2 meV per atom
Final energy: -24.1 eV/f.u.
Symmetry: C2/m (12)

***

Material: Mn2Rh
Method: DFT, PBE
State: relaxed

Cell: 5.9141 5.9141 4.2553 Å, 90.00 90.00 120.00°
Last column: nearest neighbours and their distance in Å.
Positions (direct):
Mn  0.0000  0.2267  0.0000  2 Mn 2.32, 4 Rh 2.35-2.51
Mn  0.0000  0.5512  0.5000  5 Rh 2.65-2.74, 2 Mn 2.87
Mn  0.2267  0.0000  0.0000  2 Mn 2.32, 4 Rh 2.35-2.51
Mn  0.4488  0.4488  0.5000  5 Rh 2.65-2.74, 2 Mn 2.87
Mn  0.5512  0.0000  0.5000  5 Rh 2.65-2.74, 2 Mn 2.87
Mn  0.7733  0.7733  0.0000  2 Mn 2.32, 4 Rh 2.35-2.51
Rh  0.0000  0.0000  0.5000  9 Mn 2.51-2.65
Rh  0.3333  0.6667  0.0000  3 Mn 2.35
Rh  0.6667  0.3333  0.0000  3 Mn 2.35

Output
Formation enthalpy at 0 K: 273.1 meV per atom
Final energy: -24.9 eV/f.u.
Symmetry: P-62m (189)

***

Material: MnRh5
Method: DFT, PBE
State: relaxed

Cell: 2.7390 2.7390 11.2126 Å, 90.00 90.00 90.00°
Last column: nearest neighbours and their distance in Å.
Positions (direct):
Mn  0.0000  0.0000  0.0000  8 Rh 2.63, 4 Mn 2.74
Rh  0.0000  0.0000  0.3314  12 Rh 2.71-2.74
Rh  0.0000  0.0000  0.6686  12 Rh 2.71-2.74
Rh  0.5000  0.5000  0.1582  4 Mn 2.63, 8 Rh 2.74
Rh  0.5000  0.5000  0.5000  12 Rh 2.71-2.74
Rh  0.5000  0.5000  0.8418  4 Mn 2.63, 8 Rh 2.74

Output
Formation enthalpy at 0 K: -25.3 meV per atom
Final energy: -46.1 eV/f.u.
Symmetry: P4/mmm (123)

***

Material: Mn5Rh3
Method: DFT, PBE
State: relaxed

Cell: 5.2640 5.2640 4.2498 Å, 90.00 90.00 108.29°
Last column: nearest neighbours and their distance in Å.
Positions (direct):
Mn  0.0000  0.0000  0.0000  8 Mn 2.63-2.64
Mn  0.0000  0.5000  0.0000  6 Rh 2.63, 2 Mn 2.63
Mn  0.2529  0.2529  0.5000  6 Rh 2.61-2.65, 2 Mn 2.64
Mn  0.5000  0.0000  0.0000  6 Rh 2.63, 2 Mn 2.63
Mn  0.7471  0.7471  0.5000  6 Rh 2.61-2.65, 2 Mn 2.64
Rh  0.2453  0.7547  0.5000  8 Mn 2.61-2.65
Rh  0.5000  0.5000  0.0000  8 Mn 2.61-2.63
Rh  0.7547  0.2453  0.5000  8 Mn 2.61-2.65

Output
Offset from the most stable computed form: 0 meV/atom
Formation enthalpy at 0 K: -116.6 meV per atom
Final energy: -68.8 eV/f.u.
Symmetry: Cmmm (65)